Material: Ca2PtPb
Method: DFT, PBEsol
State: relaxed

It has space group Immm (No. 71), with a = 4.798 Å, b = 4.819 Å, c = 8.159 Å, α = 90.00°, β = 90.00° and γ = 90.00°. The distinct sites, in fractional coordinates, are Ca at (0.000, 0.000, 0.249), Pt at (0.000, 0.500, 0.500) and Pb at (0.000, 0.500, 0.000).

For the formation energy, the calculation gives -0.59 eV per atom. The calculation puts the raw total energy at -35.19 eV per cell. The calculation puts the volume at 188.7 Å³/cell. The calculation puts the size of the total moment at 0.0 Bohr magnetons per cell.

=====

Material: NaSnGeW2
Method: DFT, PBEsol
State: relaxed

It has space group P4/mmm (No. 123), with a = 4.678 Å, b = 4.678 Å, c = 5.288 Å, α = 90.00°, β = 90.00° and γ = 90.00°. The distinct sites, in fractional coordinates, are Na at (0.000, 0.000, 0.000), Sn at (0.500, 0.500, 0.000), Ge at (0.500, 0.500, 0.500) and W at (0.000, 0.500, 0.500).

For the formation energy, the calculation gives 1.61 eV per atom. The calculation puts the raw total energy at -30.15 eV per cell. The calculation puts the volume at 115.7 Å³/cell. The calculation puts the size of the total moment at 0.7 Bohr magnetons per cell.

=====

Material: PmCdPd2
Method: DFT, PBEsol
State: relaxed

It has space group Fm-3m (No. 225), with a = 6.763 Å, b = 6.763 Å, c = 6.763 Å, α = 90.00°, β = 90.00° and γ = 90.00°. The distinct sites, in fractional coordinates, are Pm at (0.000, 0.000, 0.000), Cd at (0.000, 0.000, 0.500) and Pd at (0.250, 0.250, 0.250).

For the formation energy, the calculation gives -0.64 eV per atom. The calculation puts the raw total energy at -83.19 eV per cell. The calculation puts the volume at 309.3 Å³/cell. The calculation puts the size of the total moment at 0.0 Bohr magnetons per cell.

=====

Material: NiP2Au2
Method: DFT, PBEsol
State: relaxed

It has space group P4/mbm (No. 127), with a = 5.605 Å, b = 5.605 Å, c = 4.901 Å, α = 90.00°, β = 90.00° and γ = 90.00°. The distinct sites, in fractional coordinates, are Ni at (0.000, 0.000, 0.000), P at (0.140, 0.360, 0.000) and Au at (0.179, 0.321, 0.500).

For the formation energy, the calculation gives -0.17 eV per atom. The calculation puts the raw total energy at -52.91 eV per cell. The calculation puts the volume at 154.0 Å³/cell. The calculation puts the size of the total moment at 0.0 Bohr magnetons per cell.